1.
Material: Dy5TePd2
Method: DFT, PBE-GGA
State: relaxed

N(E_F): 0.6863 states/eV/atom
crystal system: tetragonal
symmetry: I4/mcm
ΔE_f (raw): -0.791 eV per atom

Cell: 8.719 8.719 8.719 Å, 126.68 126.68 78.77°
Element x y z (fractional)
Dy: 0.000 0.000 0.000
Dy: 0.013 0.513 0.809
Dy: 0.204 0.013 0.500
Dy: 0.296 0.796 0.809
Dy: 0.487 0.296 0.500
Dy: 0.500 0.500 0.000
Dy: 0.513 0.704 0.500
Dy: 0.704 0.204 0.191
Dy: 0.796 0.987 0.500
Dy: 0.987 0.487 0.191
Te: 0.250 0.250 0.000
Te: 0.750 0.750 0.000
Pd: 0.137 0.363 0.500
Pd: 0.363 0.863 0.226
Pd: 0.637 0.137 0.774
Pd: 0.863 0.637 0.500

---

2.
Material: Rb2TcSeBr6
Method: DFT, PBE-GGA
State: relaxed

N(E_F): 0.3858 states/eV/atom
crystal system: tetragonal
symmetry: I4/mmm
ΔE_f (raw): -0.720 eV per atom

Cell: 7.850 7.850 7.850 Å, 116.80 116.80 95.64°
Element x y z (fractional)
Rb: 0.250 0.750 0.500
Rb: 0.750 0.250 0.500
Tc: 0.000 0.000 0.000
Se: 0.500 0.500 0.000
Br: 0.220 0.220 0.440
Br: 0.220 0.780 0.000
Br: 0.249 0.249 0.000
Br: 0.751 0.751 0.000
Br: 0.780 0.220 0.000
Br: 0.780 0.780 0.560

---

3.
Material: BiTe2RuF
Method: DFT, PBE-GGA
State: relaxed

N(E_F): 0.3097 states/eV/atom
crystal system: tetragonal
symmetry: P4/mmm
ΔE_f (raw): 0.480 eV per atom

Cell: 4.987 4.987 4.669 Å, 90.00 90.00 90.00°
Element x y z (fractional)
Bi: 0.000 0.000 0.000
Te: 0.000 0.500 0.500
Te: 0.500 0.000 0.500
Ru: 0.500 0.500 0.000
F: 0.000 0.000 0.500

---

4.
Material: PaSnRhO6
Method: DFT, PBE-GGA
State: relaxed

crystal system: trigonal
symmetry: P-31c
ΔE_f (raw): -1.888 eV per atom

Cell: 5.507 5.507 8.758 Å, 90.00 90.00 120.00°
Element x y z (fractional)
Pa: 0.333 0.667 0.250
Pa: 0.667 0.333 0.750
Sn: 0.333 0.667 0.750
Sn: 0.667 0.333 0.250
Rh: 0.000 0.000 0.000
Rh: 0.000 0.000 0.500
O: 0.010 0.332 0.625
O: 0.010 0.678 0.875
O: 0.322 0.332 0.875
O: 0.322 0.990 0.625
O: 0.332 0.010 0.125
O: 0.332 0.322 0.375
O: 0.668 0.678 0.625
O: 0.668 0.990 0.875
O: 0.678 0.010 0.375
O: 0.678 0.668 0.125
O: 0.990 0.322 0.125
O: 0.990 0.668 0.375